Entry 1:
Here is a relaxed structure of AcLaBiBr from the Alexandria database. Energies are from PBE.

Calculated values
The calculation puts the total energy at -18.9 eV/cell. The value obtained for the uncorrected formation energy is -1.069 eV per atom. The density of states at the Fermi level comes out at 0.9424 states/eV/atom.

abc: 5.6625 5.6625 5.6625
angles: 60.00 60.00 60.00
Closest atoms and distances in Å follow each position.
Fractional coordinates of all 4 atoms:
La (0.5000, 0.5000, 0.5000)  4 Br 3.47, 4 Bi 3.47
Br (0.7500, 0.7500, 0.7500)  4 La 3.47, 4 Ac 3.47
Ac (0.0000, 0.0000, 0.0000)  4 Bi 3.47, 4 Br 3.47
Bi (0.2500, 0.2500, 0.2500)  4 Ac 3.47, 4 La 3.47

***

Entry 2:
Here is a relaxed structure of Cd3BPb from the Alexandria database. Energies are from PBE.

Calculated values
The calculation puts the total energy at -10.6 eV/cell. The density of states at the Fermi level comes out at 0.6428 states/eV/atom. The value obtained for the formation energy is 0.502 eV per atom. The relative energy among the computed polymorphs comes out at 0.0 meV/atom.

abc: 4.8021 4.8021 4.8021
angles: 90.00 90.00 90.00
Closest atoms and distances in Å follow each position.
Fractional coordinates of all 5 atoms:
Cd (0.0000, 0.5000, 0.0000)  2 B 2.40
Cd (0.5000, 0.0000, 0.0000)  2 B 2.40
Cd (0.0000, 0.0000, 0.5000)  2 B 2.40
B (0.0000, 0.0000, 0.0000)  6 Cd 2.40
Pb (0.5000, 0.5000, 0.5000)  12 Cd 3.40

***

Entry 3:
Here is a relaxed structure of Th5Ge4 from the Alexandria database. Energies are from PBE.

Calculated values
The calculation puts the total energy at -61.3 eV/cell. The density of states at the Fermi level comes out at 0.8644 states/eV/atom. The value obtained for the formation energy is -0.635 eV per atom.

abc: 4.4401 6.0311 9.9401
angles: 75.44 77.09 68.40
Closest atoms and distances in Å follow each position.
Fractional coordinates of all 9 atoms:
Th (0.0000, 0.0000, 0.0000)  4 Ge 2.99
Th (0.8998, 0.8088, 0.3917)  7 Ge 3.09-3.36
Th (0.1002, 0.1912, 0.6083)  7 Ge 3.09-3.36
Th (0.7472, 0.6696, 0.8360)  6 Ge 3.14-3.33, 2 Th 3.46
Th (0.2528, 0.3304, 0.1640)  6 Ge 3.14-3.33, 2 Th 3.46
Ge (0.5463, 0.7367, 0.1708)  1 Ge 2.69, 2 Th 2.99
Ge (0.4537, 0.2633, 0.8292)  1 Ge 2.69, 2 Th 2.99
Ge (0.3745, 0.6399, 0.6112)  2 Ge 2.69-2.89
Ge (0.6255, 0.3601, 0.3888)  2 Ge 2.69-2.89